# 1
First-principles (PBE) data for BaNiBr6 after structural relaxation, as listed in Alexandria via LeMat-Bulk.

It has space group P-1 (No. 2), with a = 6.3240 Å, b = 6.6035 Å, c = 6.9515 Å, α = 107.66°, β = 103.41° and γ = 102.74°. The distinct sites, in fractional coordinates, are Ba at (0.0000, 0.0000, 0.0000), Ni at (0.5000, 0.0000, 0.5000), Br at (0.1910, 0.6453, 0.1763), Br at (0.2441, 0.2090, 0.5394) and Br at (0.3971, 0.8325, 0.7363).

The uncorrected formation energy is -670 kJ/mol of formula units. The value obtained for the theoretical density is 4.39 g/cm3. The value obtained for the total moment is 0.00 μB per atom.

---

# 2
First-principles (PBE) data for BaNiBr4 after structural relaxation, as listed in Alexandria via LeMat-Bulk.

It has space group F-43m (No. 216), with a = 9.1790 Å, b = 9.1790 Å, c = 9.1790 Å, α = 90.00°, β = 90.00° and γ = 90.00°. The distinct sites, in fractional coordinates, are Ba at (0.0000, 0.0000, 0.0000), Ni at (0.2500, 0.2500, 0.2500) and Br at (0.1247, 0.1247, 0.6247).

The uncorrected formation energy is 7 kJ/mol of formula units. The value obtained for the theoretical density is 4.43 g/cm3. The value obtained for the total moment is 0.57 μB per atom. As for the energy above the most stable polymorph in this dataset: 1.190 eV per atom.